# 1
A crystal of Tl3PtN relaxed with PBEsol. Source: Alexandria, functional meta-GGA SCAN.

Values from the calculation:
ΔE_f (raw): 4.32 eV/f.u.

Unit cell a=4.717 b=4.717 c=4.717 alpha=90.00 beta=90.00 gamma=90.00
Space group Pm-3m (No. 221)
Inequivalent atoms, fractional coordinates:
Tl1 0.000 0.000 0.500
Pt1 0.500 0.500 0.500
N1 0.000 0.000 0.000

=====

# 2
A crystal of K2YRe relaxed with PBEsol. Source: Alexandria, functional meta-GGA SCAN.

Values from the calculation:
Energy of formation from the pure elements: 1.209 eV/atom

Unit cell a=5.954 b=12.961 c=3.111 alpha=90.00 beta=119.06 gamma=90.00
Space group C2/m (No. 12)
Inequivalent atoms, fractional coordinates:
K1 0.250 0.250 0.000
Y1 0.000 0.000 0.500
Re1 0.000 0.500 0.500

=====

# 3
A crystal of SrGa3Co relaxed with PBEsol. Source: Alexandria, functional meta-GGA SCAN.

Values from the calculation:
Energy of formation from the pure elements: -0.373 eV/atom

Unit cell a=4.568 b=4.568 c=4.568 alpha=90.00 beta=90.00 gamma=90.00
Space group Pm-3m (No. 221)
Inequivalent atoms, fractional coordinates:
Sr1 0.000 0.000 0.000
Ga1 0.000 0.500 0.500
Co1 0.500 0.500 0.500